# AlInSi2W | Alexandria via LeMat-Bulk | PBE-GGA | relaxed
# Uncorrected formation energy = 10.8 eV per formula unit
# N(E_F) = 7.810 states/eV/cell
# V = 23.38 A^3/atom
# M_tot = 0.00 μB/f.u.
data_AlInSi2W
_cell_length_a 4.883
_cell_length_b 4.883
_cell_length_c 4.903
_cell_angle_alpha 90.00
_cell_angle_beta 90.00
_cell_angle_gamma 90.00
_symmetry_space_group_name_H-M 'P 4/m m m'
_symmetry_Int_Tables_number 123
_symmetry_space_group_name_Hall '-P 4 2'
loop_
_atom_site_label
_atom_site_type_symbol
_atom_site_fract_x
_atom_site_fract_y
_atom_site_fract_z
_atom_site_occupancy
Al1 Al 0.000 0.000 0.000 1
In1 In 0.000 0.000 0.500 1
Si1 Si 0.000 0.500 0.500 1
W1 W 0.500 0.500 0.000 1